(1)
Below is a geometry-optimized Co3NiH2 structure, with properties calculated at the PBE level.

M_tot ... 0.7702 μB/atom
Energy ... -134.10 eV/cell

Lattice parameters (Å, degrees): 11.349 2.569 8.568 90.00 128.70 90.00
Space group C2/m (No. 12)
Symmetry-distinct sites (fractional):
Co  0.064  0.000  0.181
Co  0.180  0.500  0.063
Co  0.208  0.000  0.574
Ni  0.065  0.500  0.696
H  0.098  0.500  0.534
H  0.127  0.000  0.873

(2)
Below is a geometry-optimized ScSe2O structure, with properties calculated at the PBE level.

M_tot ... 0.0000 μB/atom
Relative energy among the computed polymorphs ... 0.0000 eV per atom
Energy ... -63.72 eV/cell
Energy relative to the elements, uncorrected ... -0.746 eV/atom

Lattice parameters (Å, degrees): 4.0269 4.0269 19.8631 90.00 90.00 120.00
Space group R-3m (No. 166, hexagonal axes)
Symmetry-distinct sites (fractional):
Sc  0.0000  0.0000  0.0000
Se  0.0000  0.0000  0.4035
O  0.0000  0.0000  0.5000

no.,density of states at the Fermi level (states/eV/f.u.)
1,5.1
2,3.1